Arrangement w

! AuC5 | the Alexandria database | PBE | relaxed; values from VASP
! - total magnetization (μB per formula unit) = 0.0
&SYSTEM
  ibrav = 0, nat = 6, ntyp = 2
/
ATOMIC_SPECIES
Au 196.97 Au.upf
C 12.01 C.upf
CELL_PARAMETERS angstrom
3.520 0.000 0.000
-1.760 3.048 0.000
0.000 0.000 8.119
ATOMIC_POSITIONS crystal
Au 0.000 0.000 0.000
C 0.000 0.500 0.500
C 0.333 0.667 0.000
C 0.500 0.000 0.500
C 0.500 0.500 0.500
C 0.667 0.333 0.000

=====

Arrangement x

! AuC5 | the Alexandria database | PBE | relaxed; values from VASP
! - total magnetization (μB per formula unit) = 0.0
&SYSTEM
  ibrav = 0, nat = 6, ntyp = 2
/
ATOMIC_SPECIES
Au 196.97 Au.upf
C 12.01 C.upf
CELL_PARAMETERS angstrom
2.565 0.000 0.000
0.000 2.565 0.000
0.000 0.000 8.055
ATOMIC_POSITIONS crystal
Au 0.000 0.000 0.000
C 0.000 0.000 0.268
C 0.000 0.000 0.732
C 0.500 0.500 0.332
C 0.500 0.500 0.500
C 0.500 0.500 0.668

=====

Arrangement y

! AuC5 | the Alexandria database | PBE | relaxed; values from VASP
! - total magnetization (μB per formula unit) = 0.4
&SYSTEM
  ibrav = 0, nat = 12, ntyp = 2
/
ATOMIC_SPECIES
Au 196.97 Au.upf
C 12.01 C.upf
CELL_PARAMETERS angstrom
7.558 0.000 0.000
0.000 2.542 0.000
0.000 0.000 9.686
ATOMIC_POSITIONS crystal
Au 0.000 0.000 0.000
Au 0.000 0.500 0.500
C 0.000 0.000 0.219
C 0.000 0.000 0.781
C 0.000 0.500 0.281
C 0.000 0.500 0.719
C 0.500 0.000 0.165
C 0.500 0.000 0.584
C 0.500 0.000 0.744
C 0.500 0.500 0.084
C 0.500 0.500 0.244
C 0.500 0.500 0.665

=====

Arrangement z

! AuC5 | the Alexandria database | PBE | relaxed; values from VASP
! - total magnetization (μB per formula unit) = 0.0
&SYSTEM
  ibrav = 0, nat = 12, ntyp = 2
/
ATOMIC_SPECIES
Au 196.97 Au.upf
C 12.01 C.upf
CELL_PARAMETERS angstrom
7.101 0.000 0.000
0.000 2.571 0.000
-0.235 0.000 6.580
ATOMIC_POSITIONS crystal
Au 0.000 0.000 0.000
Au 0.500 0.500 0.000
C 0.016 0.000 0.433
C 0.207 0.500 0.867
C 0.220 0.500 0.660
C 0.222 0.000 0.530
C 0.419 0.000 0.437
C 0.516 0.500 0.433
C 0.707 0.000 0.867
C 0.720 0.000 0.660
C 0.722 0.500 0.530
C 0.919 0.500 0.437

=====

Which one is most stable, and which one is least stable? arrangement z is the most stable of them, while arrangement w is the least stable.

=====

Arrangement w

! AuC5 | the Alexandria database | PBE | relaxed; values from VASP
! - total magnetization (μB per formula unit) = 0.0
&SYSTEM
  ibrav = 0, nat = 6, ntyp = 2
/
ATOMIC_SPECIES
Au 196.97 Au.upf
C 12.01 C.upf
CELL_PARAMETERS angstrom
4.841 0.000 0.000
-2.420 4.192 0.000
0.000 0.000 2.471
ATOMIC_POSITIONS crystal
Au 0.000 0.000 0.000
C 0.000 0.500 0.500
C 0.333 0.667 0.000
C 0.500 0.000 0.500
C 0.500 0.500 0.500
C 0.667 0.333 0.000

=====

Arrangement x

! AuC5 | the Alexandria database | PBE | relaxed; values from VASP
! - total magnetization (μB per formula unit) = 0.0
&SYSTEM
  ibrav = 0, nat = 6, ntyp = 2
/
ATOMIC_SPECIES
Au 196.97 Au.upf
C 12.01 C.upf
CELL_PARAMETERS angstrom
0.000 3.125 3.125
3.125 0.000 3.125
3.125 3.125 0.000
ATOMIC_POSITIONS crystal
Au 0.000 0.000 0.000
C 0.411 0.411 0.411
C 0.411 0.411 0.768
C 0.411 0.768 0.411
C 0.750 0.750 0.750
C 0.768 0.411 0.411

=====

Which one is most stable, and which one is least stable? arrangement w is the most stable of them, while arrangement x is the least stable.

=====

Arrangement w

! AuC4 | the Alexandria database | PBE | relaxed; values from VASP
! - total magnetization (μB per formula unit) = 0.0
&SYSTEM
  ibrav = 0, nat = 10, ntyp = 2
/
ATOMIC_SPECIES
Au 196.97 Au.upf
C 12.01 C.upf
CELL_PARAMETERS angstrom
5.285 0.000 0.000
0.000 5.285 0.000
0.000 0.000 5.201
ATOMIC_POSITIONS crystal
Au 0.000 0.000 0.000
Au 0.500 0.500 0.500
C 0.000 0.381 0.000
C 0.000 0.619 0.000
C 0.119 0.500 0.500
C 0.381 0.000 0.000
C 0.500 0.119 0.500
C 0.500 0.881 0.500
C 0.619 0.000 0.000
C 0.881 0.500 0.500

=====

Arrangement x

! AuC4 | the Alexandria database | PBE | relaxed; values from VASP
! - total magnetization (μB per formula unit) = 0.0
&SYSTEM
  ibrav = 0, nat = 5, ntyp = 2
/
ATOMIC_SPECIES
Au 196.97 Au.upf
C 12.01 C.upf
CELL_PARAMETERS angstrom
2.985 0.000 0.000
-1.492 2.585 0.000
0.000 0.000 5.928
ATOMIC_POSITIONS crystal
Au 0.000 0.000 0.000
C 0.333 0.667 0.209
C 0.333 0.667 0.450
C 0.667 0.333 0.550
C 0.667 0.333 0.791

=====

Arrangement y

! AuC4 | the Alexandria database | PBE | relaxed; values from VASP
! - total magnetization (μB per formula unit) = 0.0
&SYSTEM
  ibrav = 0, nat = 10, ntyp = 2
/
ATOMIC_SPECIES
Au 196.97 Au.upf
C 12.01 C.upf
CELL_PARAMETERS angstrom
4.986 0.000 0.000
0.000 4.986 0.000
0.000 0.000 4.986
ATOMIC_POSITIONS crystal
Au 0.000 0.000 0.000
Au 0.500 0.500 0.500
C 0.250 0.250 0.250
C 0.250 0.250 0.750
C 0.250 0.750 0.250
C 0.250 0.750 0.750
C 0.750 0.250 0.250
C 0.750 0.250 0.750
C 0.750 0.750 0.250
C 0.750 0.750 0.750

=====

Which one is most stable, and which one is least stable? arrangement x is the most stable of them, while arrangement y is the least stable.

=====

Arrangement w

! AuC4 | the Alexandria database | PBE | relaxed; values from VASP
! - total magnetization (μB per formula unit) = 0.6
&SYSTEM
  ibrav = 0, nat = 5, ntyp = 2
/
ATOMIC_SPECIES
Au 196.97 Au.upf
C 12.01 C.upf
CELL_PARAMETERS angstrom
4.097 0.000 0.000
0.000 4.097 0.000
0.000 0.000 4.097
ATOMIC_POSITIONS crystal
Au 0.000 0.000 0.000
C 0.000 0.000 0.500
C 0.000 0.500 0.000
C 0.500 0.000 0.000
C 0.500 0.500 0.500

=====

Arrangement x

! AuC4 | the Alexandria database | PBE | relaxed; values from VASP
! - total magnetization (μB per formula unit) = 0.0
&SYSTEM
  ibrav = 0, nat = 10, ntyp = 2
/
ATOMIC_SPECIES
Au 196.97 Au.upf
C 12.01 C.upf
CELL_PARAMETERS angstrom
2.925 0.000 0.000
0.000 2.925 0.000
0.000 0.000 11.584
ATOMIC_POSITIONS crystal
Au 0.000 0.000 0.000
Au 0.500 0.500 0.500
C 0.000 0.000 0.183
C 0.000 0.000 0.817
C 0.000 0.500 0.250
C 0.000 0.500 0.750
C 0.500 0.000 0.250
C 0.500 0.000 0.750
C 0.500 0.500 0.317
C 0.500 0.500 0.683

=====

Which one is most stable, and which one is least stable? arrangement x is the most stable of them, while arrangement w is the least stable.

=====

Arrangement w

! Au4C | the Alexandria database | PBE | relaxed; values from VASP
! - total magnetization (μB per formula unit) = 0.0
&SYSTEM
  ibrav = 0, nat = 5, ntyp = 2
/
ATOMIC_SPECIES
Au 196.97 Au.upf
C 12.01 C.upf
CELL_PARAMETERS angstrom
4.357 0.000 0.000
0.000 4.357 0.000
0.000 0.000 4.357
ATOMIC_POSITIONS crystal
Au 0.000 0.000 0.000
Au 0.000 0.500 0.500
Au 0.500 0.000 0.500
Au 0.500 0.500 0.000
C 0.500 0.500 0.500

=====

Arrangement x

! Au4C | the Alexandria database | PBE | relaxed; values from VASP
! - total magnetization (μB per formula unit) = 0.8
&SYSTEM
  ibrav = 0, nat = 10, ntyp = 2
/
ATOMIC_SPECIES
Au 196.97 Au.upf
C 12.01 C.upf
CELL_PARAMETERS angstrom
3.732 0.000 0.000
0.000 3.732 0.000
0.000 0.000 14.106
ATOMIC_POSITIONS crystal
Au 0.000 0.000 0.093
Au 0.000 0.000 0.907
Au 0.000 0.500 0.250
Au 0.000 0.500 0.750
Au 0.500 0.000 0.250
Au 0.500 0.000 0.750
Au 0.500 0.500 0.407
Au 0.500 0.500 0.593
C 0.000 0.000 0.500
C 0.500 0.500 0.000

=====

Which one is most stable, and which one is least stable? arrangement w is the most stable of them, while arrangement x is the least stable.

=====

Arrangement w

! Au3C4 | the Alexandria database | PBE | relaxed; values from VASP
! - total magnetization (μB per formula unit) = 0.0
&SYSTEM
  ibrav = 0, nat = 14, ntyp = 2
/
ATOMIC_SPECIES
Au 196.97 Au.upf
C 12.01 C.upf
CELL_PARAMETERS angstrom
2.606 0.000 0.000
0.000 2.606 0.000
0.000 0.000 24.142
ATOMIC_POSITIONS crystal
Au 0.000 0.000 0.000
Au 0.000 0.000 0.302
Au 0.000 0.000 0.698
Au 0.500 0.500 0.198
Au 0.500 0.500 0.500
Au 0.500 0.500 0.802
C 0.000 0.000 0.090
C 0.000 0.000 0.393
C 0.000 0.000 0.607
C 0.000 0.000 0.910
C 0.500 0.500 0.107
C 0.500 0.500 0.410
C 0.500 0.500 0.590
C 0.500 0.500 0.893

=====

Arrangement x

! Au3C4 | the Alexandria database | PBE | relaxed; values from VASP
! - total magnetization (μB per formula unit) = 0.0
&SYSTEM
  ibrav = 0, nat = 7, ntyp = 2
/
ATOMIC_SPECIES
Au 196.97 Au.upf
C 12.01 C.upf
CELL_PARAMETERS angstrom
4.399 0.000 0.000
0.000 4.399 0.000
0.000 0.000 4.399
ATOMIC_POSITIONS crystal
Au 0.000 0.000 0.500
Au 0.000 0.500 0.000
Au 0.500 0.000 0.000
C 0.375 0.375 0.375
C 0.375 0.625 0.625
C 0.625 0.375 0.625
C 0.625 0.625 0.375

=====

Arrangement y

! Au3C4 | the Alexandria database | PBE | relaxed; values from VASP
! - total magnetization (μB per formula unit) = 1.7
&SYSTEM
  ibrav = 0, nat = 7, ntyp = 2
/
ATOMIC_SPECIES
Au 196.97 Au.upf
C 12.01 C.upf
CELL_PARAMETERS angstrom
4.541 0.000 0.000
0.000 4.541 0.000
0.000 0.000 4.541
ATOMIC_POSITIONS crystal
Au 0.000 0.000 0.500
Au 0.000 0.500 0.000
Au 0.500 0.000 0.000
C 0.000 0.000 0.000
C 0.000 0.500 0.500
C 0.500 0.000 0.500
C 0.500 0.500 0.000

=====

Arrangement z

! Au3C4 | the Alexandria database | PBE | relaxed; values from VASP
! - total magnetization (μB per formula unit) = 0.0
&SYSTEM
  ibrav = 0, nat = 7, ntyp = 2
/
ATOMIC_SPECIES
Au 196.97 Au.upf
C 12.01 C.upf
CELL_PARAMETERS angstrom
6.418 0.000 0.000
-3.209 5.558 0.000
0.000 0.000 2.659
ATOMIC_POSITIONS crystal
Au 0.000 0.500 0.000
Au 0.500 0.000 0.000
Au 0.500 0.500 0.000
C 0.000 0.000 0.254
C 0.000 0.000 0.746
C 0.333 0.667 0.500
C 0.667 0.333 0.500

=====

Which one is most stable, and which one is least stable? arrangement z is the most stable of them, while arrangement y is the least stable.

=====

Arrangement w

! Au5C3 | the Alexandria database | PBE | relaxed; values from VASP
! - total magnetization (μB per formula unit) = 0.0
&SYSTEM
  ibrav = 0, nat = 8, ntyp = 2
/
ATOMIC_SPECIES
Au 196.97 Au.upf
C 12.01 C.upf
CELL_PARAMETERS angstrom
2.943 0.000 0.000
0.000 2.943 0.000
0.000 0.000 13.043
ATOMIC_POSITIONS crystal
Au 0.000 0.000 0.000
Au 0.000 0.000 0.225
Au 0.000 0.000 0.775
Au 0.500 0.500 0.389
Au 0.500 0.500 0.611
C 0.000 0.000 0.500
C 0.500 0.500 0.110
C 0.500 0.500 0.890

=====

Arrangement x

! Au5C3 | the Alexandria database | PBE | relaxed; values from VASP
! - total magnetization (μB per formula unit) = 0.0
&SYSTEM
  ibrav = 0, nat = 16, ntyp = 2
/
ATOMIC_SPECIES
Au 196.97 Au.upf
C 12.01 C.upf
CELL_PARAMETERS angstrom
6.089 0.000 0.000
-3.044 5.273 0.000
0.000 0.000 7.975
ATOMIC_POSITIONS crystal
Au 0.000 0.268 0.250
Au 0.000 0.732 0.750
Au 0.268 0.000 0.250
Au 0.268 0.268 0.750
Au 0.333 0.667 0.000
Au 0.333 0.667 0.500
Au 0.667 0.333 0.000
Au 0.667 0.333 0.500
Au 0.732 0.000 0.750
Au 0.732 0.732 0.250
C 0.000 0.391 0.750
C 0.000 0.609 0.250
C 0.391 0.000 0.750
C 0.391 0.391 0.250
C 0.609 0.000 0.250
C 0.609 0.609 0.750

=====

Arrangement y

! Au5C3 | the Alexandria database | PBE | relaxed; values from VASP
! - total magnetization (μB per formula unit) = 1.3
&SYSTEM
  ibrav = 0, nat = 16, ntyp = 2
/
ATOMIC_SPECIES
Au 196.97 Au.upf
C 12.01 C.upf
CELL_PARAMETERS angstrom
6.914 0.000 0.000
0.000 13.095 0.000
0.000 0.000 3.088
ATOMIC_POSITIONS crystal
Au 0.000 0.000 0.000
Au 0.194 0.500 0.500
Au 0.250 0.250 0.000
Au 0.250 0.750 0.000
Au 0.306 0.000 0.500
Au 0.500 0.500 0.000
Au 0.694 0.000 0.500
Au 0.750 0.250 0.000
Au 0.750 0.750 0.000
Au 0.806 0.500 0.500
C 0.000 0.238 0.500
C 0.000 0.500 0.000
C 0.000 0.762 0.500
C 0.500 0.000 0.000
C 0.500 0.262 0.500
C 0.500 0.738 0.500

=====

Arrangement z

! Au5C3 | the Alexandria database | PBE | relaxed; values from VASP
! - total magnetization (μB per formula unit) = 0.3
&SYSTEM
  ibrav = 0, nat = 16, ntyp = 2
/
ATOMIC_SPECIES
Au 196.97 Au.upf
C 12.01 C.upf
CELL_PARAMETERS angstrom
3.849 -5.991 0.000
3.849 5.991 0.000
-3.813 0.000 5.962
ATOMIC_POSITIONS crystal
Au 0.000 0.000 0.000
Au 0.245 0.493 0.261
Au 0.251 0.990 0.752
Au 0.488 0.749 0.752
Au 0.493 0.245 0.261
Au 0.501 0.501 0.003
Au 0.747 0.995 0.261
Au 0.749 0.488 0.752
Au 0.990 0.251 0.752
Au 0.995 0.747 0.261
C 0.001 0.001 0.519
C 0.366 0.865 0.501
C 0.499 0.499 0.518
C 0.499 0.998 0.020
C 0.865 0.366 0.501
C 0.998 0.499 0.020

=====

Which one is most stable, and which one is least stable? arrangement x is the most stable of them, while arrangement w is the least stable.

=====

Arrangement w

! CaAuC3 | the Alexandria database | PBE | relaxed; values from VASP
! - total magnetization (μB per formula unit) = 0.0
&SYSTEM
  ibrav = 0, nat = 5, ntyp = 3
/
ATOMIC_SPECIES
Ca 40.08 Ca.upf
Au 196.97 Au.upf
C 12.01 C.upf
CELL_PARAMETERS angstrom
4.233 0.000 0.000
0.000 4.233 0.000
0.000 0.000 4.233
ATOMIC_POSITIONS crystal
Ca 0.000 0.000 0.000
Au 0.500 0.500 0.500
C 0.000 0.500 0.500
C 0.500 0.000 0.500
C 0.500 0.500 0.000

=====

Arrangement x

! CaAuC3 | the Alexandria database | PBE | relaxed; values from VASP
! - total magnetization (μB per formula unit) = 0.0
&SYSTEM
  ibrav = 0, nat = 5, ntyp = 3
/
ATOMIC_SPECIES
Ca 40.08 Ca.upf
Au 196.97 Au.upf
C 12.01 C.upf
CELL_PARAMETERS angstrom
4.413 0.000 0.000
0.000 4.413 0.000
0.000 0.000 4.413
ATOMIC_POSITIONS crystal
Ca 0.000 0.000 0.000
Au 0.500 0.500 0.500
C 0.000 0.000 0.500
C 0.000 0.500 0.000
C 0.500 0.000 0.000

=====

Which one is most stable, and which one is least stable? arrangement w is the most stable of them, while arrangement x is the least stable.

=====

Arrangement w

! CaAu2C2 | the Alexandria database | PBE | relaxed; values from VASP
! - total magnetization (μB per formula unit) = 0.0
&SYSTEM
  ibrav = 0, nat = 10, ntyp = 3
/
ATOMIC_SPECIES
Ca 40.08 Ca.upf
Au 196.97 Au.upf
C 12.01 C.upf
CELL_PARAMETERS angstrom
4.173 0.000 0.000
0.000 4.173 0.000
0.000 0.000 8.886
ATOMIC_POSITIONS crystal
Ca 0.000 0.000 0.000
Ca 0.500 0.500 0.500
Au 0.000 0.000 0.335
Au 0.000 0.000 0.665
Au 0.500 0.500 0.165
Au 0.500 0.500 0.835
C 0.000 0.500 0.250
C 0.000 0.500 0.750
C 0.500 0.000 0.250
C 0.500 0.000 0.750

=====

Arrangement x

! CaAu2C2 | the Alexandria database | PBE | relaxed; values from VASP
! - total magnetization (μB per formula unit) = 0.0
&SYSTEM
  ibrav = 0, nat = 10, ntyp = 3
/
ATOMIC_SPECIES
Ca 40.08 Ca.upf
Au 196.97 Au.upf
C 12.01 C.upf
CELL_PARAMETERS angstrom
7.525 0.000 0.000
0.000 7.525 0.000
0.000 0.000 3.896
ATOMIC_POSITIONS crystal
Ca 0.000 0.000 0.000
Ca 0.500 0.500 0.000
Au 0.131 0.369 0.000
Au 0.369 0.869 0.000
Au 0.631 0.131 0.000
Au 0.869 0.631 0.000
C 0.136 0.364 0.500
C 0.364 0.864 0.500
C 0.636 0.136 0.500
C 0.864 0.636 0.500

=====

Which one is most stable, and which one is least stable? arrangement w is the most stable of them, while arrangement x is the least stable.